## SnPtBr3 (PBE)

Data for crystalline SnPtBr3 at its relaxed geometry.

a = 5.184 Å, b = 5.184 Å, c = 5.184 Å
α = 90.00°, β = 90.00°, γ = 90.00°
Last column: magnetic moment on the atom in μB.
Fractional positions:
Br: 0.000 0.500 0.000  0.00
Br: 0.500 0.000 0.000  -0.01
Br: 0.000 0.000 0.500  0.00
Pt: 0.000 0.000 0.000  -0.01
Sn: 0.500 0.500 0.500  0.14

Output
* formation energy (no corrections): -4 kJ per mole of atoms
* polymorph energy (0 for the lowest one): 0 meV/atom
* symmetry: Pm-3m, No. 221